CaTl3Cr2F9 | PBE+U | relaxed

a b c (Å): 6.146 6.146 7.542
angles (deg): 90.00 90.00 120.00
Fractional coordinates of all 15 atoms:
Ca (0.000, 0.000, 0.000)
Tl (0.000, 0.000, 0.500)
Tl (0.333, 0.667, 0.173)
Tl (0.667, 0.333, 0.827)
Cr (0.333, 0.667, 0.658)
Cr (0.667, 0.333, 0.342)
F (0.000, 0.500, 0.500)
F (0.171, 0.343, 0.823)
F (0.171, 0.829, 0.823)
F (0.343, 0.171, 0.177)
F (0.500, 0.000, 0.500)
F (0.500, 0.500, 0.500)
F (0.657, 0.829, 0.823)
F (0.829, 0.171, 0.177)
F (0.829, 0.657, 0.177)

Values from the calculation:
Final energy (eV/atom): -5.197
N(E_F) (states/eV/atom): 0.22